No. 1
First-principles (PBE) data for Mg2IrPd after structural relaxation, as listed in Alexandria.

The structure in POSCAR format:
```
Mg2IrPd
1.0
0.0000 3.1424 3.1424
3.1424 0.0000 3.1424
3.1424 3.1424 0.0000
Mg Ir Pd
2 1 1
direct
0.2500 0.2500 0.2500 Mg
0.7500 0.7500 0.7500 Mg
0.0000 0.0000 0.0000 Ir
0.5000 0.5000 0.5000 Pd
```

As for the symmetry: Fm-3m.

No. 2
First-principles (PBE) data for Ti3OsRh2 after structural relaxation, as listed in Alexandria.

The structure in POSCAR format:
```
Ti3OsRh2
1.0
3.0272 0.0000 0.0000
0.0000 3.0272 0.0000
0.0000 0.0000 9.8077
Ti Os Rh
3 1 2
direct
0.0000 0.0000 0.0000 Ti
0.0000 0.0000 0.3396 Ti
0.0000 0.0000 0.6604 Ti
0.5000 0.5000 0.5000 Os
0.5000 0.5000 0.1727 Rh
0.5000 0.5000 0.8273 Rh
```

As for the symmetry: P4/mmm.

No. 3
First-principles (PBE) data for HoTm6Tl after structural relaxation, as listed in Alexandria.

The structure in POSCAR format:
```
HoTm6Tl
1.0
4.1962 -4.6364 0.0000
4.1962 4.6364 0.0000
-0.9972 0.0000 6.1460
Ho Tm Tl
1 6 1
direct
0.0000 0.0000 0.0000 Ho
0.1466 0.5229 0.2787 Tm
0.3414 0.3414 0.7969 Tm
0.4771 0.8534 0.7213 Tm
0.5229 0.1466 0.2787 Tm
0.6586 0.6586 0.2031 Tm
0.8534 0.4771 0.7213 Tm
0.0000 0.0000 0.5000 Tl
```

The calculation puts the energy above the most stable polymorph in this dataset at 0.089 eV per atom. As for the symmetry: C2/m.

no.,formation enthalpy at 0 K (meV/atom),electronic total energy (eV for the cell shown)
1,-519,-19.32
2,-721,-53.94
3,30,-33.53